{"formula": "MnBe2Au", "functional": "PBE", "state": "relaxed", "e_tot_ev_per_atom": -4.745, "lattice_angstrom": [[-3.1448, -2.7238, -6.5822], [-2.9534, -5.0487, -5.1402], [-5.1126, -3.3939, -4.7934]], "species": ["Mn", "Be", "Be", "Au"], "fractional_positions": [[0.2500, 0.2500, 0.2500], [0.5050, 0.5050, 0.5050], [0.9950, 0.9950, 0.9950], [0.7500, 0.7500, 0.7500]]}